Entry 1:
# KTl2Se

KTl2Se at its PBEsol-relaxed geometry (SCAN, Alexandria via LeMat-Bulk).

DOS at the Fermi energy: 0.446 states/eV/atom
Magnetic moment: 0.0 μB/cell
Electronic total energy: -174.64 eV per formula unit

a = 4.049 Å, b = 4.049 Å, c = 7.208 Å
α = 90.00°, β = 90.00°, γ = 90.00°
Space group P4/mmm (No. 123)
Unique sites:
K1 0.000 0.000 0.000 x1
Tl1 0.500 0.500 0.295 x2
Se1 0.000 0.000 0.500 x1

Entry 2:
# KTl2Se

KTl2Se at its PBEsol-relaxed geometry (SCAN, Alexandria via LeMat-Bulk).

DOS at the Fermi energy: 0.378 states/eV/atom
Magnetic moment: 0.0 μB/cell
Electronic total energy: -175.33 eV per formula unit

a = 3.809 Å, b = 5.403 Å, c = 11.123 Å
α = 90.00°, β = 90.00°, γ = 90.00°
Space group Immm (No. 71)
Unique sites:
K1 0.000 0.000 0.000 x2
Tl1 0.000 0.500 0.212 x4
Se1 0.000 0.000 0.500 x2

Entry 3:
# KTlSe2

KTlSe2 at its PBEsol-relaxed geometry (SCAN, Alexandria via LeMat-Bulk).

DOS at the Fermi energy: 0.334 states/eV/atom
Magnetic moment: 0.0 μB/cell
Electronic total energy: -122.27 eV per formula unit

a = 4.1579 Å, b = 4.1579 Å, c = 27.1824 Å
α = 90.00°, β = 90.00°, γ = 120.00°
Space group R-3m (No. 166, hexagonal axes)
Unique sites:
K1 0.0000 0.0000 0.0000 x3
Tl1 0.0000 0.0000 0.5000 x3
Se1 0.0000 0.0000 0.1106 x6

Entry 4:
# KTl2Se

KTl2Se at its PBEsol-relaxed geometry (SCAN, Alexandria via LeMat-Bulk).

DOS at the Fermi energy: 0.234 states/eV/atom
Magnetic moment: 0.0 μB/cell
Electronic total energy: -175.45 eV per formula unit

a = 4.540 Å, b = 4.540 Å, c = 6.071 Å
α = 90.00°, β = 90.14°, γ = 90.00°
Space group Pm (No. 6)
Unique sites:
K1 0.000 0.000 0.000 x1
Tl1 0.498 0.000 0.486 x1
Tl2 0.997 0.500 0.486 x1
Se1 0.499 0.500 0.829 x1